#P
Below is a relaxed GaAgP2O crystal, with properties calculated at the GGA-PBE level.

Results
Density of states at the Fermi level   1.109 states/eV/atom
Magnetic moment   0.00 μB/atom
Calculated volume   95.3 Å³/cell
Space group   P4/mmm (123)

Cell: 4.920 4.920 3.937 Å, 90.00 90.00 90.00°
Element x y z (fractional)
P  0.500  0.000  0.000
P  0.000  0.500  0.000
O  0.000  0.000  0.500
Ag  0.000  0.000  0.000
Ga  0.500  0.500  0.500

#Q
Below is a relaxed GaAgP2O crystal, with properties calculated at the GGA-PBE level.

Results
Density of states at the Fermi level   0.812 states/eV/atom
Magnetic moment   0.00 μB/atom
Calculated volume   88.9 Å³/cell
Space group   P4/mmm (123)

Cell: 5.042 5.042 3.498 Å, 90.00 90.00 90.00°
Element x y z (fractional)
Ga  0.000  0.000  0.000
P  0.500  0.000  0.000
P  0.000  0.500  0.000
O  0.000  0.000  0.500
Ag  0.500  0.500  0.500

Energetically preferred structure: #Q | next structure: +451 meV per atom

#P
Below is a relaxed GaAgPO2 crystal, with properties calculated at the GGA-PBE level.

Results
Density of states at the Fermi level   0.917 states/eV/atom
Magnetic moment   0.09 μB/atom
Calculated volume   80.1 Å³/cell
Space group   P4/mmm (123)

Cell: 3.984 3.984 5.047 Å, 90.00 90.00 90.00°
Element x y z (fractional)
Ag  0.000  0.000  0.000
O  0.500  0.000  0.000
O  0.000  0.500  0.000
P  0.000  0.000  0.500
Ga  0.500  0.500  0.500

#Q
Below is a relaxed GaAgPO2 crystal, with properties calculated at the GGA-PBE level.

Results
Density of states at the Fermi level   0.522 states/eV/atom
Magnetic moment   0.37 μB/atom
Calculated volume   81.0 Å³/cell
Space group   P4/mmm (123)

Cell: 3.704 3.704 5.907 Å, 90.00 90.00 90.00°
Element x y z (fractional)
Ag  0.500  0.500  0.500
O  0.500  0.000  0.000
O  0.000  0.500  0.000
Ga  0.000  0.000  0.000
P  0.000  0.000  0.500

Energetically preferred structure: #Q | next structure: +631 meV per atom

#P
Below is a relaxed GaAgP crystal, with properties calculated at the GGA-PBE level.

Results
Density of states at the Fermi level   0.221 states/eV/atom
Magnetic moment   0.00 μB/atom
Calculated volume   112.8 Å³/cell
Space group   P2_1/m (11)

Cell: 3.213 4.761 7.564 Å, 102.95 90.00 90.00°
Element x y z (fractional)
P  0.250  0.152  0.486
P  0.750  0.848  0.514
Ga  0.250  0.365  0.827
Ga  0.750  0.635  0.173
Ag  0.750  0.845  0.852
Ag  0.250  0.155  0.148

#Q
Below is a relaxed GaAgP crystal, with properties calculated at the GGA-PBE level.

Results
Density of states at the Fermi level   0.101 states/eV/atom
Magnetic moment   0.00 μB/atom
Calculated volume   132.8 Å³/cell
Space group   C2/m (12)

Cell: 3.925 3.855 10.409 Å, 99.94 90.00 120.60°
Element x y z (fractional)
Ag  0.305  0.610  0.417
Ag  0.695  0.390  0.583
Ga  0.141  0.282  0.899
Ga  0.859  0.718  0.101
P  0.217  0.435  0.169
P  0.783  0.565  0.831

#R
Below is a relaxed GaAgP crystal, with properties calculated at the GGA-PBE level.

Results
Density of states at the Fermi level   0.177 states/eV/atom
Magnetic moment   0.00 μB/atom
Calculated volume   114.1 Å³/cell
Space group   P1 (1)

Cell: 3.191 5.232 7.570 Å, 72.18 89.71 72.38°
Element x y z (fractional)
Ag  0.195  0.803  0.379
Ag  0.505  0.189  0.052
P  0.074  0.044  0.636
P  0.438  0.319  0.677
Ga  0.217  0.772  0.977
Ga  0.886  0.420  0.276

Energetically preferred structure: #P | next structure: +37 meV per atom

#P
Below is a relaxed Ga3AgP crystal, with properties calculated at the GGA-PBE level.

Results
Density of states at the Fermi level   0.628 states/eV/atom
Magnetic moment   0.00 μB/atom
Calculated volume   119.4 Å³/cell
Space group   Pm-3m (221)

Cell: 4.924 4.924 4.924 Å, 90.00 90.00 90.00°
Element x y z (fractional)
P  0.500  0.500  0.500
Ga  0.000  0.000  0.500
Ga  0.000  0.500  0.000
Ga  0.500  0.000  0.000
Ag  0.000  0.000  0.000

#Q
Below is a relaxed Ga3AgP crystal, with properties calculated at the GGA-PBE level.

Results
Density of states at the Fermi level   0.387 states/eV/atom
Magnetic moment   0.00 μB/atom
Calculated volume   111.8 Å³/cell
Space group   Pm-3m (221)

Cell: 4.817 4.817 4.817 Å, 90.00 90.00 90.00°
Element x y z (fractional)
Ga  0.500  0.000  0.000
Ga  0.000  0.000  0.500
Ga  0.000  0.500  0.000
P  0.000  0.000  0.000
Ag  0.500  0.500  0.500

Energetically preferred structure: #Q | next structure: +203 meV per atom